(P)
{
  "formula": "TcMo4W",
  "functional": "PBE",
  "state": "optimized geometry",
  "m_tot_mub_per_atom": 0.000,
  "n_ef_per_ev_fu": 5.7,
  "spacegroup": "Cmmm",
  "cell": [[3.518, -3.566, 0.000], [3.518, 3.566, 0.000], [0.000, 0.000, 4.764]],
  "species": ["Tc", "Mo", "Mo", "Mo", "Mo", "W"],
  "fractional_positions": [[0.000, 0.000, 0.000], [0.164, 0.836, 0.500], [0.330, 0.330, 0.000], [0.670, 0.670, 0.000], [0.836, 0.164, 0.500], [0.500, 0.500, 0.500]]
}

---

(Q)
{
  "formula": "TcMo4W",
  "functional": "PBE",
  "state": "optimized geometry",
  "m_tot_mub_per_atom": 0.000,
  "n_ef_per_ev_fu": 7.6,
  "spacegroup": "F-43m",
  "cell": [[0.000, 3.652, 3.652], [3.652, 0.000, 3.652], [3.652, 3.652, 0.000]],
  "species": ["Tc", "Mo", "Mo", "Mo", "Mo", "W"],
  "fractional_positions": [[0.000, 0.000, 0.000], [0.376, 0.376, 0.376], [0.376, 0.376, 0.873], [0.376, 0.873, 0.376], [0.873, 0.376, 0.376], [0.750, 0.750, 0.750]]
}

---

(R)
{
  "formula": "TcMo4W",
  "functional": "PBE",
  "state": "optimized geometry",
  "m_tot_mub_per_atom": 0.000,
  "n_ef_per_ev_fu": 5.1,
  "spacegroup": "C2/m",
  "cell": [[4.984, -1.582, 0.000], [4.984, 1.582, 0.000], [-2.005, 0.000, 5.977]],
  "species": ["Tc", "Mo", "Mo", "Mo", "Mo", "W"],
  "fractional_positions": [[0.000, 0.000, 0.000], [0.331, 0.331, 0.167], [0.333, 0.333, 0.667], [0.667, 0.667, 0.333], [0.669, 0.669, 0.833], [0.000, 0.000, 0.500]]
}

---

Which is the most stable structure? (R) is the most stable.

---

(P)
{
  "formula": "TcMo6W8",
  "functional": "PBE",
  "state": "optimized geometry",
  "m_tot_mub_per_atom": 0.000,
  "n_ef_per_ev_fu": 16.3,
  "spacegroup": "R-3",
  "cell": [[3.514, 2.029, 5.718], [-3.514, 2.029, 5.718], [0.000, -4.058, 5.718]],
  "species": ["Tc", "Mo", "Mo", "Mo", "Mo", "Mo", "Mo", "W", "W", "W", "W", "W", "W", "W", "W"],
  "fractional_positions": [[0.000, 0.000, 0.000], [0.054, 0.285, 0.537], [0.285, 0.537, 0.054], [0.463, 0.946, 0.715], [0.537, 0.054, 0.285], [0.715, 0.463, 0.946], [0.946, 0.715, 0.463], [0.128, 0.831, 0.655], [0.169, 0.345, 0.872], [0.345, 0.872, 0.169], [0.424, 0.424, 0.424], [0.576, 0.576, 0.576], [0.655, 0.128, 0.831], [0.831, 0.655, 0.128], [0.872, 0.169, 0.345]]
}

---

(Q)
{
  "formula": "TcMo6W8",
  "functional": "PBE",
  "state": "optimized geometry",
  "m_tot_mub_per_atom": 0.000,
  "n_ef_per_ev_fu": 11.5,
  "spacegroup": "P-3",
  "cell": [[10.059, 0.000, 0.000], [-5.029, 8.711, 0.000], [0.000, 0.000, 2.913]],
  "species": ["Tc", "Mo", "Mo", "Mo", "Mo", "Mo", "Mo", "W", "W", "W", "W", "W", "W", "W", "W"],
  "fractional_positions": [[0.000, 0.000, 0.000], [0.101, 0.632, 0.867], [0.368, 0.469, 0.867], [0.469, 0.101, 0.133], [0.531, 0.899, 0.867], [0.632, 0.531, 0.133], [0.899, 0.368, 0.133], [0.083, 0.284, 0.640], [0.201, 0.917, 0.640], [0.284, 0.201, 0.360], [0.333, 0.667, 0.373], [0.667, 0.333, 0.627], [0.716, 0.799, 0.640], [0.799, 0.083, 0.360], [0.917, 0.716, 0.360]]
}

---

Which is the most stable structure? (P) is the most stable.

---

(P)
{
  "formula": "TcMo6W",
  "functional": "PBE",
  "state": "optimized geometry",
  "m_tot_mub_per_atom": 0.000,
  "n_ef_per_ev_fu": 6.3,
  "spacegroup": "P-1",
  "cell": [[5.029, 0.000, 0.000], [0.010, 5.037, 0.000], [0.009, 0.006, 5.039]],
  "species": ["Tc", "Mo", "Mo", "Mo", "Mo", "Mo", "Mo", "W"],
  "fractional_positions": [[0.000, 0.000, 0.000], [0.000, 0.499, 0.751], [0.000, 0.501, 0.249], [0.249, 0.000, 0.501], [0.499, 0.751, 0.000], [0.501, 0.249, 0.000], [0.751, 0.000, 0.499], [0.500, 0.500, 0.500]]
}

---

(Q)
{
  "formula": "TcMo6W",
  "functional": "PBE",
  "state": "optimized geometry",
  "m_tot_mub_per_atom": 0.000,
  "n_ef_per_ev_fu": 7.4,
  "spacegroup": "Amm2",
  "cell": [[4.475, 0.000, 0.000], [0.000, 3.150, 4.464], [0.000, -3.150, 4.464]],
  "species": ["Tc", "Mo", "Mo", "Mo", "Mo", "Mo", "Mo", "W"],
  "fractional_positions": [[0.000, 0.000, 0.000], [0.000, 0.499, 0.499], [0.000, 0.499, 0.999], [0.000, 0.999, 0.499], [0.500, 0.250, 0.747], [0.500, 0.747, 0.250], [0.500, 0.751, 0.751], [0.500, 0.248, 0.248]]
}

---

Which is the most stable structure? (Q) is the most stable.